Entry 1:
Li2PdO3: optimized geometry, PBE-GGA.

polymorph energy (0 for the lowest one) = 0.7 meV/atom
total energy = -63.08 eV for the cell shown
volume = 113 Å³/cell
formation energy from raw total energies = -1.27 eV/atom

Cell lengths 5.194, 5.194, 5.153 Å; angles 99.69, 99.69, 119.92 degrees
Positions (direct):
1 Li 0.000 0.000 0.000
2 Li 0.164 0.836 0.500
3 Li 0.500 0.500 0.500
4 Li 0.836 0.164 0.500
5 Pd 0.333 0.667 0.000
6 Pd 0.667 0.333 0.000
7 O 0.078 0.426 0.234
8 O 0.269 0.269 0.763
9 O 0.426 0.078 0.234
10 O 0.574 0.922 0.766
11 O 0.731 0.731 0.237
12 O 0.922 0.574 0.766

***

Entry 2:
Ac2CuHg2: optimized geometry, PBE-GGA.

total energy = -29.36 eV for the cell shown
volume = 299 Å³/cell
DOS at the Fermi energy = 4.08 states/eV/f.u.
ΔE_f = -0.352 eV/atom

Cell lengths 6.335, 6.335, 12.330 Å; angles 114.43, 114.43, 42.38 degrees
Positions (direct):
1 Ac 0.047 0.047 0.356
2 Ac 0.190 0.190 0.113
3 Ac 0.810 0.810 0.887
4 Ac 0.953 0.953 0.644
5 Cu 0.272 0.272 0.680
6 Cu 0.728 0.728 0.320
7 Hg 0.357 0.357 0.415
8 Hg 0.478 0.478 0.123
9 Hg 0.522 0.522 0.877
10 Hg 0.643 0.643 0.585

***

Entry 3:
Hg2H4SeN: optimized geometry, PBE-GGA.

total energy = -48.21 eV for the cell shown
volume = 222 Å³/cell
DOS at the Fermi energy = 1.23 states/eV/f.u.

Cell lengths 6.148, 6.148, 7.315 Å; angles 116.24, 116.24, 79.05 degrees
Positions (direct):
1 Hg 0.000 0.000 0.000
2 Hg 0.000 0.000 0.500
3 Hg 0.000 0.500 0.000
4 Hg 0.500 0.000 0.500
5 H 0.306 0.490 0.486
6 H 0.350 0.467 0.847
7 H 0.467 0.350 0.347
8 H 0.490 0.306 0.986
9 H 0.510 0.694 0.014
10 H 0.533 0.650 0.653
11 H 0.650 0.533 0.153
12 H 0.694 0.510 0.514
13 Se 0.000 0.500 0.500
14 Se 0.500 0.000 0.000
15 N 0.500 0.500 0.000
16 N 0.500 0.500 0.500

***

Entry 4:
Re4SiMo: optimized geometry, PBE-GGA.

total energy = -62.78 eV for the cell shown
volume = 96 Å³/cell
formation energy from raw total energies = 0.54 eV/atom
DOS at the Fermi energy = 4.32 states/eV/f.u.

Cell lengths 5.137, 5.137, 5.137 Å; angles 60.00, 60.00, 60.00 degrees
Positions (direct):
1 Re 0.124 0.124 0.124
2 Re 0.124 0.124 0.627
3 Re 0.124 0.627 0.124
4 Re 0.627 0.124 0.124
5 Si 0.750 0.750 0.750
6 Mo 0.500 0.500 0.500

***

Entry 5:
Li2ZrOsI: optimized geometry, PBE-GGA.

total energy = -20.23 eV for the cell shown
volume = 103 Å³/cell
formation energy from raw total energies = 0.99 eV/atom
DOS at the Fermi energy = 4.01 states/eV/f.u.

Cell lengths 4.509, 4.509, 5.078 Å; angles 90.00, 90.00, 90.00 degrees
Positions (direct):
1 Li 0.000 0.500 0.000
2 Li 0.500 0.000 0.000
3 Zr 0.000 0.000 0.500
4 Os 0.500 0.500 0.000
5 I 0.500 0.500 0.500

***

Entry 6:
BeTl2BSe4: optimized geometry, PBE-GGA.

total energy = -31.34 eV for the cell shown
volume = 187 Å³/cell
formation energy from raw total energies = -0.28 eV/atom
DOS at the Fermi energy = 3.76 states/eV/f.u.

Cell lengths 6.299, 6.299, 6.299 Å; angles 115.35, 115.35, 98.27 degrees
Positions (direct):
1 Be 0.000 0.000 0.000
2 Tl 0.250 0.750 0.500
3 Tl 0.500 0.500 0.000
4 B 0.750 0.250 0.500
5 Se 0.013 0.609 0.865
6 Se 0.391 0.256 0.404
7 Se 0.744 0.148 0.135
8 Se 0.852 0.987 0.596

***

Entry 7:
La3MgZn8: optimized geometry, PBE-GGA.

total energy = -29.84 eV for the cell shown
volume = 247 Å³/cell
DOS at the Fermi energy = 5.97 states/eV/f.u.
ΔE_f = -0.273 eV/atom

Cell lengths 9.639, 9.639, 9.639 Å; angles 33.78, 33.78, 33.78 degrees
Positions (direct):
1 La 0.000 0.000 0.000
2 La 0.125 0.125 0.125
3 La 0.622 0.622 0.622
4 Mg 0.497 0.497 0.497
5 Zn 0.063 0.063 0.557
6 Zn 0.063 0.557 0.063
7 Zn 0.064 0.562 0.562
8 Zn 0.312 0.312 0.312
9 Zn 0.557 0.063 0.063
10 Zn 0.562 0.064 0.562
11 Zn 0.562 0.562 0.064
12 Zn 0.811 0.811 0.811

***

Entry 8:
LaCr2C2: optimized geometry, PBE-GGA.

polymorph energy (0 for the lowest one) = 0.0 meV/atom
total energy = -43.23 eV for the cell shown
volume = 66 Å³/cell
DOS at the Fermi energy = 4.18 states/eV/f.u.
ΔE_f = -0.122 eV/atom

Cell lengths 6.083, 6.083, 6.083 Å; angles 147.27, 147.27, 46.96 degrees
Positions (direct):
1 La 0.000 0.000 0.000
2 Cr 0.250 0.750 0.500
3 Cr 0.750 0.250 0.500
4 C 0.348 0.348 0.000
5 C 0.652 0.652 0.000

***

Entry 9:
MnFeP2: optimized geometry, PBE-GGA.

polymorph energy (0 for the lowest one) = 372.8 meV/atom
total energy = -29.32 eV for the cell shown
volume = 44 Å³/cell
DOS at the Fermi energy = 3.54 states/eV/f.u.
ΔE_f = -0.218 eV/atom

Cell lengths 3.814, 3.814, 4.681 Å; angles 101.78, 101.78, 41.45 degrees
Positions (direct):
1 Mn 0.000 0.000 0.000
2 Fe 0.500 0.500 0.500
3 P 0.250 0.250 0.755
4 P 0.750 0.750 0.245

***

Entry 10:
CsAgBr3: optimized geometry, PBE-GGA.

total energy = -52.01 eV for the cell shown
volume = 789 Å³/cell
formation energy from raw total energies = -0.86 eV/atom
DOS at the Fermi energy = 0.08 states/eV/f.u.

Cell lengths 10.536, 8.172, 10.579 Å; angles 90.00, 120.05, 90.00 degrees
Positions (direct):
1 Cs 0.177 0.249 0.089
2 Cs 0.177 0.251 0.589
3 Cs 0.823 0.749 0.411
4 Cs 0.823 0.751 0.911
5 Ag 0.293 0.687 0.396
6 Ag 0.293 0.813 0.896
7 Ag 0.707 0.187 0.104
8 Ag 0.707 0.313 0.604
9 Br 0.047 0.546 0.273
10 Br 0.047 0.954 0.773
11 Br 0.262 0.750 0.131
12 Br 0.262 0.750 0.631
13 Br 0.439 0.246 0.469
14 Br 0.439 0.254 0.969
15 Br 0.561 0.746 0.031
16 Br 0.561 0.754 0.531
17 Br 0.738 0.250 0.369
18 Br 0.738 0.250 0.869
19 Br 0.953 0.046 0.227
20 Br 0.953 0.454 0.727

***

Entry 11:
DyY2Cu9: optimized geometry, PBE-GGA.

total energy = -56.72 eV for the cell shown
volume = 192 Å³/cell
DOS at the Fermi energy = 8.28 states/eV/f.u.
ΔE_f = -0.194 eV/atom

Cell lengths 8.845, 8.845, 8.845 Å; angles 33.94, 33.94, 33.94 degrees
Positions (direct):
1 Dy 0.000 0.000 0.000
2 Y 0.141 0.141 0.141
3 Y 0.859 0.859 0.859
4 Cu 0.082 0.581 0.581
5 Cu 0.332 0.332 0.332
6 Cu 0.419 0.419 0.918
7 Cu 0.419 0.918 0.419
8 Cu 0.500 0.500 0.500
9 Cu 0.581 0.082 0.581
10 Cu 0.581 0.581 0.082
11 Cu 0.668 0.668 0.668
12 Cu 0.918 0.419 0.419

***

Entry 12:
Pu2AlIn: optimized geometry, PBE-GGA.

polymorph energy (0 for the lowest one) = 193.6 meV/atom
total energy = -35.00 eV for the cell shown
volume = 97 Å³/cell
DOS at the Fermi energy = 14.52 states/eV/f.u.
ΔE_f = 0.036 eV/atom

Cell lengths 10.964, 10.964, 10.964 Å; angles 16.91, 16.91, 16.91 degrees
Positions (direct):
1 Pu 0.246 0.246 0.246
2 Pu 0.754 0.754 0.754
3 Al 0.500 0.500 0.500
4 In 0.000 0.000 0.000